NbVMo2 PBE optimized geometry; final energy = -38.220 eV/cell; energy above the lowest structure with this stoichiometry = 0.771 eV/atom; formation enthalpy at 0 K = 0.658 eV per atom; space-group type = Immm; density of states at the Fermi level = 4.8 states/eV/cell
1.0
-0.490 1.565 -5.581
1.235 -4.926 2.836
-2.422 -1.733 4.996
Mo Nb V
2 1 1
Direct
0.000 0.239 0.239
0.000 0.761 0.761
0.000 0.500 0.500
0.000 0.000 0.000